Here is a relaxed structure of LaTbPrNd2 from the Alexandria database. Energies are from PBE-GGA.

Summary:
- Raw total energy: -0.333 Ry per atom
- Total magnetization: 0.00 Bohr magnetons per cell
- Density: 6.7 g/cm³

abc: 8.344 6.879 6.320
angles: 90.00 90.79 90.00
Atoms (fractional coordinates):
1 La 0.000 0.000 0.000
2 La 0.000 0.000 0.500
3 Tb 0.000 0.419 0.250
4 Tb 0.000 0.581 0.750
5 Pr 0.500 0.162 0.250
6 Pr 0.500 0.838 0.750
7 Nd 0.302 0.312 0.745
8 Nd 0.302 0.688 0.245
9 Nd 0.698 0.312 0.755
10 Nd 0.698 0.688 0.255


Here is a relaxed structure of RbMoAs2 from the Alexandria database. Energies are from PBE-GGA.

Summary:
- Raw total energy: -0.340 Ry per atom
- Relative energy among the computed polymorphs: 0.803 eV/atom
- Total magnetization: 2.02 Bohr magnetons per cell
- Density: 6.4 g/cm³

abc: 4.946 4.946 4.946
angles: 60.00 60.00 60.00
Atoms (fractional coordinates):
1 Rb 0.000 0.000 0.000
2 Mo 0.500 0.500 0.500
3 As 0.250 0.250 0.250
4 As 0.750 0.750 0.750


Here is a relaxed structure of SmBrCl3 from the Alexandria database. Energies are from PBE-GGA.

Summary:
- Raw total energy: -0.307 Ry per atom
- Total magnetization: 0.00 Bohr magnetons per cell
- Density: 3.3 g/cm³
- Formation energy without anion corrections: -1.79 eV/atom

abc: 7.165 7.478 7.886
angles: 67.54 68.68 62.37
Atoms (fractional coordinates):
1 Sm 0.164 0.176 0.002
2 Sm 0.836 0.824 0.998
3 Br 0.336 0.473 0.097
4 Br 0.664 0.527 0.903
5 Cl 0.067 0.572 0.744
6 Cl 0.114 0.024 0.767
7 Cl 0.430 0.887 0.233
8 Cl 0.570 0.113 0.767
9 Cl 0.886 0.976 0.233
10 Cl 0.933 0.428 0.256


Here is a relaxed structure of K2ThI2Cl4 from the Alexandria database. Energies are from PBE-GGA.

Summary:
- Raw total energy: -0.298 Ry per atom
- Total magnetization: 0.00 Bohr magnetons per cell
- Density: 3.3 g/cm³
- Formation energy without anion corrections: -1.82 eV/atom

abc: 8.100 8.100 8.100
angles: 123.56 123.56 83.94
Atoms (fractional coordinates):
1 K 0.250 0.750 0.500
2 K 0.750 0.250 0.500
3 Th 0.000 0.000 0.000
4 I 0.260 0.260 0.000
5 I 0.740 0.740 0.000
6 Cl 0.245 0.245 0.490
7 Cl 0.245 0.755 0.000
8 Cl 0.755 0.245 0.000
9 Cl 0.755 0.755 0.510